Record 1
First-principles (GGA-PBE) data for an optimized crystal structure of RbSmBr2, as listed in Alexandria via LeMat-Bulk.

a = 3.9789 Å, b = 3.9789 Å, c = 11.1764 Å
α = 79.75°, β = 79.75°, γ = 60.00°
Closest atoms and distances in Å follow each position.
Positions (direct):
1 Br 0.1062 0.1062 0.6814  3 Sm 3.04
2 Br 0.8938 0.8938 0.3186  3 Sm 3.04
3 Rb 0.0000 0.0000 0.0000  2 Br 3.49
4 Sm 0.5000 0.5000 0.5000  6 Br 3.04

Results
The uncorrected formation energy is -1.1720 eV per atom. Its space group is No. 166. The final energy is -13.72 eV per formula unit.

***

Record 2
First-principles (GGA-PBE) data for an optimized crystal structure of Rb2SmBr6, as listed in Alexandria via LeMat-Bulk.

a = 4.6018 Å, b = 8.8145 Å, c = 8.8396 Å
α = 119.91°, β = 90.00°, γ = 90.00°
Closest atoms and distances in Å follow each position.
Positions (direct):
1 Rb 0.0000 0.3321 0.6657  9 Br 3.48-3.70
2 Rb 0.0000 0.6664 0.3343  9 Br 3.48-3.70
3 Sm 0.5000 0.0011 0.0000  9 Br 3.06-3.08
4 Br 0.5000 0.6539 0.0000  1 Sm 3.06
5 Br 0.5000 0.3465 0.3474  1 Sm 3.06
6 Br 0.5000 0.9991 0.6526  1 Sm 3.06
7 Br 0.0000 0.2327 0.0000  2 Sm 3.08
8 Br 0.0000 0.7687 0.7691  2 Sm 3.08
9 Br 0.0000 0.9996 0.2309  2 Sm 3.08

Results
The uncorrected formation energy is -1.5279 eV per atom. Its space group is No. 38. The final energy is -30.44 eV per formula unit.

***

Record 3
First-principles (GGA-PBE) data for an optimized crystal structure of Rb3SmBr8, as listed in Alexandria via LeMat-Bulk.

a = 7.7676 Å, b = 7.7676 Å, c = 9.7740 Å
α = 113.41°, β = 113.41°, γ = 90.00°
Closest atoms and distances in Å follow each position.
Positions (direct):
1 Rb 0.7500 0.2500 0.5000  8 Br 3.57
2 Rb 0.5000 0.5000 0.0000  8 Br 3.54
3 Rb 0.2500 0.7500 0.5000  8 Br 3.57
4 Sm 0.0000 0.0000 0.0000  8 Br 3.02
5 Br 0.3322 0.3322 0.2207  1 Sm 3.02
6 Br 0.3322 0.8885 0.2207  1 Sm 3.02
7 Br 0.1115 0.6678 0.7793  1 Sm 3.02
8 Br 0.1115 0.1115 0.7793  1 Sm 3.02
9 Br 0.8885 0.8885 0.2207  1 Sm 3.02
10 Br 0.8885 0.3322 0.2207  1 Sm 3.02
11 Br 0.6678 0.1115 0.7793  1 Sm 3.02
12 Br 0.6678 0.6678 0.7793  1 Sm 3.02

Results
The uncorrected formation energy is -1.3707 eV per atom. Its space group is No. 139. The final energy is -37.45 eV per formula unit.

***

Record 4
First-principles (GGA-PBE) data for an optimized crystal structure of RbSm2Br7, as listed in Alexandria via LeMat-Bulk.

a = 5.7203 Å, b = 8.6757 Å, c = 8.6757 Å
α = 116.27°, β = 90.00°, γ = 90.00°
Closest atoms and distances in Å follow each position.
Positions (direct):
1 Rb 0.0000 0.0000 0.0000  10 Br 3.91-4.32
2 Sm 0.5000 0.6976 0.3024  7 Br 2.86-2.99
3 Sm 0.5000 0.3024 0.6976  7 Br 2.86-2.99
4 Br 0.0000 0.7069 0.2931  2 Sm 2.86
5 Br 0.0000 0.2931 0.7069  2 Sm 2.86
6 Br 0.5000 0.0491 0.3262  2 Sm 2.96-2.99
7 Br 0.5000 0.9509 0.6738  2 Sm 2.96-2.99
8 Br 0.5000 0.3262 0.0491  2 Sm 2.96-2.99
9 Br 0.5000 0.6738 0.9509  2 Sm 2.96-2.99
10 Br 0.5000 0.5000 0.5000  2 Sm 2.91

Results
The uncorrected formation energy is -1.8341 eV per atom. Its space group is No. 65. The final energy is -40.46 eV per formula unit.

***

Record 5
First-principles (GGA-PBE) data for an optimized crystal structure of Rb5Sm2Br12, as listed in Alexandria via LeMat-Bulk.

a = 8.4395 Å, b = 10.4575 Å, c = 11.1618 Å
α = 106.66°, β = 90.00°, γ = 113.80°
Closest atoms and distances in Å follow each position.
Positions (direct):
1 Rb 0.2921 0.5841 0.6394  7 Br 3.48-3.78
2 Rb 0.3067 0.6135 0.1628  7 Br 3.44-3.71
3 Rb 0.0000 0.0000 0.5000  6 Br 3.50-3.60
4 Rb 0.6933 0.3865 0.8372  7 Br 3.44-3.71
5 Rb 0.7079 0.4159 0.3606  7 Br 3.48-3.78
6 Sm 0.7497 0.0000 0.0000  6 Br 2.82-2.92
7 Sm 0.2503 0.0000 0.0000  6 Br 2.82-2.92
8 Br 0.0042 0.0083 0.1795  2 Sm 2.90
9 Br 0.1041 0.6905 0.9259  1 Sm 2.82
10 Br 0.5864 0.6905 0.9259  1 Sm 2.82
11 Br 0.1297 0.7110 0.4333  4 Rb 3.44-3.54, 1 Br 3.81
12 Br 0.5813 0.7110 0.4333  4 Rb 3.44-3.54, 1 Br 3.81
13 Br 0.4959 0.9918 0.8174  2 Sm 2.92
14 Br 0.5041 0.0082 0.1826  2 Sm 2.92
15 Br 0.8703 0.2890 0.5667  4 Rb 3.44-3.54, 1 Br 3.81
16 Br 0.4187 0.2890 0.5667  4 Rb 3.44-3.54, 1 Br 3.81
17 Br 0.8959 0.3095 0.0741  1 Sm 2.82
18 Br 0.4136 0.3095 0.0741  1 Sm 2.82
19 Br 0.9958 0.9917 0.8205  2 Sm 2.90

Results
The uncorrected formation energy is -1.6716 eV per atom. Its space group is No. 12. The final energy is -66.11 eV per formula unit.

***

Record 6
First-principles (GGA-PBE) data for an optimized crystal structure of RbSmSn2Br8, as listed in Alexandria via LeMat-Bulk.

a = 7.3562 Å, b = 6.8675 Å, c = 9.4971 Å
α = 87.68°, β = 86.01°, γ = 87.74°
Closest atoms and distances in Å follow each position.
Positions (direct):
1 Rb 0.0000 0.0000 0.5000  6 Br 3.37-3.44
2 Sm 0.0000 0.0000 0.0000  6 Br 2.86-2.92
3 Sn 0.4831 0.4875 0.7487  3 Br 2.73-3.00
4 Sn 0.5169 0.5125 0.2513  3 Br 2.73-3.00
5 Br 0.1685 0.7628 0.2126  1 Sm 2.86, 1 Sn 3.06
6 Br 0.6778 0.7640 0.0289  1 Sn 2.89, 1 Sm 2.92
7 Br 0.8557 0.2572 0.2158  1 Sm 2.88, 1 Sn 3.00
8 Br 0.8315 0.2372 0.7874  1 Sm 2.86, 1 Sn 3.06
9 Br 0.3222 0.2360 0.9711  1 Sn 2.89, 1 Sm 2.92
10 Br 0.1443 0.7428 0.7842  1 Sm 2.88, 1 Sn 3.00
11 Br 0.6239 0.7291 0.4635  1 Sn 2.73
12 Br 0.3761 0.2709 0.5365  1 Sn 2.73

Results
The uncorrected formation energy is -1.2799 eV per atom. Its space group is No. 2. The final energy is -42.43 eV per formula unit.

***

Record 7
First-principles (GGA-PBE) data for an optimized crystal structure of RbSmTeBr2, as listed in Alexandria via LeMat-Bulk.

a = 4.5340 Å, b = 9.8473 Å, c = 8.9124 Å
α = 90.00°, β = 90.00°, γ = 103.31°
Closest atoms and distances in Å follow each position.
Positions (direct):
1 Rb 0.7078 0.4157 0.7500  6 Br 3.43-3.49
2 Rb 0.2922 0.5843 0.2500  6 Br 3.43-3.49
3 Sm 0.0000 0.0000 0.0000  2 Br 2.85, 4 Te 3.18
4 Sm 0.0000 0.0000 0.5000  2 Br 2.85, 4 Te 3.18
5 Te 0.5035 0.0070 0.7500  4 Sm 3.18
6 Te 0.4965 0.9930 0.2500  4 Sm 3.18
7 Br 0.1486 0.2972 0.0091  1 Sm 2.85
8 Br 0.8514 0.7028 0.9909  1 Sm 2.85
9 Br 0.1486 0.2972 0.4909  1 Sm 2.85
10 Br 0.8514 0.7028 0.5091  1 Sm 2.85

Results
The uncorrected formation energy is -1.6547 eV per atom. Its space group is No. 63. The final energy is -20.45 eV per formula unit.

***

Record 8
First-principles (GGA-PBE) data for an optimized crystal structure of Rb2SmTe2Br2, as listed in Alexandria via LeMat-Bulk.

a = 6.0319 Å, b = 6.0319 Å, c = 9.8554 Å
α = 107.82°, β = 107.82°, γ = 90.00°
Closest atoms and distances in Å follow each position.
Positions (direct):
1 Rb 0.3551 0.3551 0.7102  1 Br 3.38
2 Rb 0.6449 0.6449 0.2898  1 Br 3.38
3 Sm 0.0000 0.0000 0.0000  2 Br 2.93, 4 Te 3.02
4 Te 0.0000 0.5000 0.0000  2 Sm 3.02
5 Te 0.5000 0.0000 0.0000  2 Sm 3.02
6 Br 0.1647 0.1647 0.3294  1 Sm 2.93
7 Br 0.8353 0.8353 0.6706  1 Sm 2.93

Results
The uncorrected formation energy is -1.3395 eV per atom. Its space group is No. 139. The final energy is -25.66 eV per formula unit.

***

Record 9
First-principles (GGA-PBE) data for an optimized crystal structure of RbSmTl2Br6, as listed in Alexandria via LeMat-Bulk.

a = 8.2753 Å, b = 8.2747 Å, c = 8.6118 Å
α = 61.24°, β = 61.24°, γ = 59.92°
Closest atoms and distances in Å follow each position.
Positions (direct):
1 Rb 0.8125 0.8128 0.5618  6 Br 3.40-3.56
2 Sm 0.3234 0.3233 0.0297  6 Br 2.87-2.90
3 Tl 0.5259 0.5255 0.4230  6 Br 3.37-3.43
4 Tl 0.0159 0.0160 0.9527  6 Br 3.30-3.43
5 Br 0.5632 0.2144 0.2425  1 Sm 2.87
6 Br 0.2142 0.9797 0.2425  1 Sm 2.87
7 Br 0.9795 0.5640 0.2423  1 Sm 2.87
8 Br 0.4091 0.6804 0.7732  1 Sm 2.90
9 Br 0.6809 0.1363 0.7739  1 Sm 2.90
10 Br 0.1369 0.4092 0.7736  1 Sm 2.90

Results
The uncorrected formation energy is -1.4656 eV per atom. Its space group is No. 1. The final energy is -35.11 eV per formula unit.

***

Record 10
First-principles (GGA-PBE) data for an optimized crystal structure of Rb2SmTlBr6, as listed in Alexandria via LeMat-Bulk.

a = 8.1001 Å, b = 8.6320 Å, c = 11.6779 Å
α = 90.00°, β = 89.21°, γ = 90.00°
Closest atoms and distances in Å follow each position.
Positions (direct):
1 Rb 0.0291 0.9223 0.2527  6 Br 3.49-3.74
2 Rb 0.5291 0.5777 0.7527  6 Br 3.49-3.74
3 Rb 0.9709 0.0777 0.7473  6 Br 3.49-3.74
4 Rb 0.4709 0.4223 0.2473  6 Br 3.49-3.74
5 Sm 0.5000 0.0000 0.5000  6 Br 2.87-2.88
6 Sm 0.0000 0.5000 0.0000  6 Br 2.87-2.88
7 Tl 0.5000 0.0000 0.0000  6 Br 3.32-3.36
8 Tl 0.0000 0.5000 0.5000  6 Br 3.32-3.36
9 Br 0.2874 0.6792 0.0543  1 Sm 2.87
10 Br 0.7874 0.8208 0.5543  1 Sm 2.87
11 Br 0.7126 0.3208 0.9457  1 Sm 2.87
12 Br 0.2126 0.1792 0.4457  1 Sm 2.87
13 Br 0.3298 0.7207 0.4347  1 Sm 2.88
14 Br 0.8298 0.7793 0.9347  1 Sm 2.88
15 Br 0.6702 0.2793 0.5653  1 Sm 2.88
16 Br 0.1702 0.2207 0.0653  1 Sm 2.88
17 Br 0.8816 0.5424 0.2309  1 Sm 2.87
18 Br 0.3816 0.9576 0.7309  1 Sm 2.87
19 Br 0.1184 0.4576 0.7691  1 Sm 2.87
20 Br 0.6184 0.0424 0.2691  1 Sm 2.87

Results
The uncorrected formation energy is -1.6595 eV per atom. Its space group is No. 14. The final energy is -35.65 eV per formula unit.

***

Record 11
First-principles (GGA-PBE) data for an optimized crystal structure of RbSmZnBr6, as listed in Alexandria via LeMat-Bulk.

a = 7.2063 Å, b = 7.2063 Å, c = 7.6774 Å
α = 90.01°, β = 89.99°, γ = 59.99°
Closest atoms and distances in Å follow each position.
Positions (direct):
1 Rb 0.0000 0.0000 0.0000  6 Br 3.51
2 Sm 0.6666 0.6666 0.5000  6 Br 2.87
3 Zn 0.3333 0.3333 0.5000  6 Br 2.67
4 Br 0.0213 0.3630 0.2927  1 Zn 2.67, 1 Sm 2.87
5 Br 0.3630 0.0214 0.7072  1 Zn 2.67, 1 Sm 2.87
6 Br 0.6156 0.3630 0.7072  1 Zn 2.67, 1 Sm 2.87
7 Br 0.0212 0.6157 0.7071  1 Zn 2.67, 1 Sm 2.87
8 Br 0.3630 0.6157 0.2928  1 Zn 2.67, 1 Sm 2.87
9 Br 0.6157 0.0213 0.2929  1 Zn 2.67, 1 Sm 2.87

Results
The uncorrected formation energy is -1.4905 eV per atom. Its space group is No. 149. The final energy is -30.41 eV per formula unit.

***

Record 12
First-principles (GGA-PBE) data for an optimized crystal structure of RbSnBr3, as listed in Alexandria via LeMat-Bulk.

a = 19.5329 Å, b = 8.9588 Å, c = 8.9588 Å
α = 151.50°, β = 146.18°, γ = 33.82°
Closest atoms and distances in Å follow each position.
Positions (direct):
1 Br 0.1931 0.8222 0.1778  2 Sn 3.00
2 Br 0.8069 0.1778 0.8222  2 Sn 3.00
3 Br 0.1299 0.1897 0.8103  1 Sn 2.69
4 Br 0.8701 0.8103 0.1897  1 Sn 2.69
5 Br 0.5347 0.6191 0.3809  2 Sn 3.05
6 Br 0.4653 0.3809 0.6191  2 Sn 3.05
7 Sn 0.6739 0.8942 0.1058  3 Br 2.69-3.00
8 Sn 0.3261 0.1058 0.8942  3 Br 2.69-3.00
9 Rb 0.2426 0.4367 0.5633  8 Br 3.53-3.76
10 Rb 0.7574 0.5633 0.4367  8 Br 3.53-3.76

Results
The uncorrected formation energy is -1.1532 eV per atom. Its space group is No. 12. The final energy is -15.75 eV per formula unit.

***

Copy entry 8 word for word.
First-principles (GGA-PBE) data for an optimized crystal structure of Rb2SmTe2Br2, as listed in Alexandria via LeMat-Bulk.

a = 6.0319 Å, b = 6.0319 Å, c = 9.8554 Å
α = 107.82°, β = 107.82°, γ = 90.00°
Closest atoms and distances in Å follow each position.
Positions (direct):
1 Rb 0.3551 0.3551 0.7102  1 Br 3.38
2 Rb 0.6449 0.6449 0.2898  1 Br 3.38
3 Sm 0.0000 0.0000 0.0000  2 Br 2.93, 4 Te 3.02
4 Te 0.0000 0.5000 0.0000  2 Sm 3.02
5 Te 0.5000 0.0000 0.0000  2 Sm 3.02
6 Br 0.1647 0.1647 0.3294  1 Sm 2.93
7 Br 0.8353 0.8353 0.6706  1 Sm 2.93

Results
The uncorrected formation energy is -1.3395 eV per atom. Its space group is No. 139. The final energy is -25.66 eV per formula unit.